Entry 1:
# Sm3VN4 (PBE, optimized geometry)
# Volume ... 268 Å³/cell
# Density of states at the Fermi level ... 7.97 states/eV per cell
# Total moment ... 0.80 μB per formula unit
data_Sm3VN4
_cell_length_a 7.6606
_cell_length_b 6.7770
_cell_length_c 5.1700
_cell_angle_alpha 90.00
_cell_angle_beta 90.00
_cell_angle_gamma 90.00
_space_group_name_H-M_alt 'P m n 21'
_space_group_IT_number 31
loop_
_space_group_symop_operation_xyz
'x,y,z'
'-x+1/2,-y,z+1/2'
'-x,y,z'
'x+1/2,-y,z+1/2'
loop_
_atom_site_label
_atom_site_type_symbol
_atom_site_fract_x
_atom_site_fract_y
_atom_site_fract_z
_atom_site_occupancy
Sm1 Sm 0.0000 0.1502 0.0000 1
Sm2 Sm 0.2461 0.3362 0.5043 1
V1 V 0.0000 0.8287 0.4457 1
N1 N 0.0000 0.1112 0.4990 1
N2 N 0.0000 0.8249 0.0900 1
N3 N 0.2134 0.6969 0.5072 1



Entry 2:
# Sm2VN4 (PBE, optimized geometry)
# Volume ... 211 Å³/cell
# Density of states at the Fermi level ... 6.30 states/eV per cell
# Total moment ... 0.86 μB per formula unit
data_Sm2VN4
_cell_length_a 5.7540
_cell_length_b 5.6989
_cell_length_c 6.7919
_cell_angle_alpha 90.00
_cell_angle_beta 108.37
_cell_angle_gamma 90.00
_space_group_name_H-M_alt 'P 1 21/m 1'
_space_group_IT_number 11
loop_
_space_group_symop_operation_xyz
'x,y,z'
'-x,-y,-z'
'-x,y+1/2,-z'
'x,-y+1/2,z'
loop_
_atom_site_label
_atom_site_type_symbol
_atom_site_fract_x
_atom_site_fract_y
_atom_site_fract_z
_atom_site_occupancy
Sm1 Sm 0.1876 0.2500 0.0351 1
Sm2 Sm 0.2677 0.2500 0.5611 1
V1 V 0.2573 0.7500 0.8020 1
N1 N 0.0437 0.5094 0.7456 1
N2 N 0.4393 0.7500 0.0739 1
N3 N 0.4658 0.7500 0.6513 1



Entry 3:
# SmVN (PBE, optimized geometry)
# Volume ... 95 Å³/cell
# Density of states at the Fermi level ... 2.90 states/eV per cell
# Total moment ... 0.00 μB per formula unit
data_SmVN
_cell_length_a 3.3235
_cell_length_b 3.3235
_cell_length_c 8.6425
_cell_angle_alpha 90.00
_cell_angle_beta 90.00
_cell_angle_gamma 90.00
_space_group_name_H-M_alt 'P 4/n m m'
_space_group_IT_number 129
loop_
_space_group_symop_operation_xyz
'x,y,z'
'-x,-y,-z'
'-y+1/2,x,z'
'y+1/2,-x,-z'
'-x+1/2,-y+1/2,z'
'x+1/2,y+1/2,-z'
'y,-x+1/2,z'
'-y,x+1/2,-z'
'x+1/2,-y,-z'
'-x+1/2,y,z'
'-y,-x,-z'
'y,x,z'
'-x,y+1/2,-z'
'x,-y+1/2,z'
'y+1/2,x+1/2,-z'
'-y+1/2,-x+1/2,z'
loop_
_atom_site_label
_atom_site_type_symbol
_atom_site_fract_x
_atom_site_fract_y
_atom_site_fract_z
_atom_site_occupancy
Sm1 Sm 0.2500 0.2500 0.1959 1
V1 V 0.2500 0.7500 0.5000 1
N1 N 0.2500 0.2500 0.6610 1



Entry 4:
# SmY2VN4 (PBE, optimized geometry)
# Volume ... 465 Å³/cell
# Density of states at the Fermi level ... 13.33 states/eV per cell
# Total moment ... 0.00 μB per formula unit
data_SmY2VN4
_cell_length_a 3.3784
_cell_length_b 11.6684
_cell_length_c 11.7983
_cell_angle_alpha 90.00
_cell_angle_beta 90.00
_cell_angle_gamma 90.00
_space_group_name_H-M_alt 'C m c m'
_space_group_IT_number 63
_space_group_name_Hall '-C 2c 2'
loop_
_atom_site_label
_atom_site_type_symbol
_atom_site_fract_x
_atom_site_fract_y
_atom_site_fract_z
_atom_site_occupancy
Sm1 Sm 0.0000 0.0864 0.2500 1
Y1 Y 0.0000 0.3702 0.0427 1
V1 V 0.0000 0.1735 0.7500 1
N1 N 0.0000 0.0000 0.0000 1
N2 N 0.0000 0.2652 0.6267 1
N3 N 0.0000 0.4266 0.2500 1



Entry 5:
# Sm3W2N7 (PBE, optimized geometry)
# Volume ... 325 Å³/cell
# Density of states at the Fermi level ... 2.98 states/eV per cell
# Total moment ... 0.00 μB per formula unit
data_Sm3W2N7
_cell_length_a 4.0188
_cell_length_b 20.8065
_cell_length_c 3.8815
_cell_angle_alpha 90.00
_cell_angle_beta 90.00
_cell_angle_gamma 90.00
_space_group_name_H-M_alt 'C m m m'
_space_group_IT_number 65
_space_group_name_Hall '-C 2 2'
loop_
_atom_site_label
_atom_site_type_symbol
_atom_site_fract_x
_atom_site_fract_y
_atom_site_fract_z
_atom_site_occupancy
Sm1 Sm 0.0000 0.0000 0.0000 1
Sm2 Sm 0.0000 0.1781 0.0000 1
W1 W 0.0000 0.3998 0.5000 1
N1 N 0.0000 0.0958 0.5000 1
N2 N 0.0000 0.3040 0.5000 1
N3 N 0.0000 0.4014 0.0000 1
N4 N 0.0000 0.5000 0.5000 1



Entry 6:
# Sm2W2N5 (PBE, optimized geometry)
# Volume ... 240 Å³/cell
# Density of states at the Fermi level ... 4.49 states/eV per cell
# Total moment ... 0.00 μB per formula unit
# Energy above the lowest structure with this stoichiometry ... 0.000 eV/atom
data_Sm2W2N5
_cell_length_a 11.5465
_cell_length_b 3.4787
_cell_length_c 6.4704
_cell_angle_alpha 90.00
_cell_angle_beta 112.67
_cell_angle_gamma 90.00
_space_group_name_H-M_alt 'C 1 2/m 1'
_space_group_IT_number 12
loop_
_space_group_symop_operation_xyz
'x,y,z'
'-x,-y,-z'
'-x,y,-z'
'x,-y,z'
'x+1/2,y+1/2,z'
'-x+1/2,-y+1/2,-z'
'-x+1/2,y+1/2,-z'
'x+1/2,-y+1/2,z'
loop_
_atom_site_label
_atom_site_type_symbol
_atom_site_fract_x
_atom_site_fract_y
_atom_site_fract_z
_atom_site_occupancy
Sm1 Sm 0.1679 0.0000 0.2160 1
W1 W 0.0562 0.5000 0.7296 1
N1 N 0.0000 0.5000 0.0000 1
N2 N 0.1223 0.5000 0.4584 1
N3 N 0.1446 0.0000 0.8221 1



Entry 7:
# Sm2WN (PBE, optimized geometry)
# Volume ... 247 Å³/cell
# Density of states at the Fermi level ... 15.74 states/eV per cell
# Total moment ... 0.03 μB per formula unit
data_Sm2WN
_cell_length_a 3.2796
_cell_length_b 3.2796
_cell_length_c 26.5685
_cell_angle_alpha 90.00
_cell_angle_beta 90.00
_cell_angle_gamma 120.00
_space_group_name_H-M_alt 'R -3 m'
_space_group_IT_number 166
_space_group_name_Hall '-R 3 2"'
loop_
_atom_site_label
_atom_site_type_symbol
_atom_site_fract_x
_atom_site_fract_y
_atom_site_fract_z
_atom_site_occupancy
Sm1 Sm 0.0000 0.0000 0.1116 1
W1 W 0.0000 0.0000 0.0000 1
N1 N 0.0000 0.0000 0.5000 1



Entry 8:
# Sm2WN6 (PBE, optimized geometry)
# Volume ... 293 Å³/cell
# Density of states at the Fermi level ... 13.57 states/eV per cell
# Total moment ... 6.02 μB per formula unit
data_Sm2WN6
_cell_length_a 5.2808
_cell_length_b 5.2808
_cell_length_c 10.4992
_cell_angle_alpha 90.00
_cell_angle_beta 90.00
_cell_angle_gamma 90.00
_space_group_name_H-M_alt 'P 42/m n m'
_space_group_IT_number 136
_space_group_name_Hall '-P 4n 2n'
loop_
_atom_site_label
_atom_site_type_symbol
_atom_site_fract_x
_atom_site_fract_y
_atom_site_fract_z
_atom_site_occupancy
Sm1 Sm 0.0000 0.0000 0.1727 1
W1 W 0.0000 0.0000 0.5000 1
N1 N 0.1837 0.1837 0.3607 1
N2 N 0.2286 0.2286 0.0000 1



Entry 9:
# Sm2W3N8 (PBE, optimized geometry)
# Volume ... 355 Å³/cell
# Total moment ... 0.00 μB per formula unit
data_Sm2W3N8
_cell_length_a 11.5931
_cell_length_b 6.3470
_cell_length_c 5.1711
_cell_angle_alpha 90.00
_cell_angle_beta 111.13
_cell_angle_gamma 90.00
_space_group_name_H-M_alt 'C 1 2/m 1'
_space_group_IT_number 12
loop_
_space_group_symop_operation_xyz
'x,y,z'
'-x,-y,-z'
'-x,y,-z'
'x,-y,z'
'x+1/2,y+1/2,z'
'-x+1/2,-y+1/2,-z'
'-x+1/2,y+1/2,-z'
'x+1/2,-y+1/2,z'
loop_
_atom_site_label
_atom_site_type_symbol
_atom_site_fract_x
_atom_site_fract_y
_atom_site_fract_z
_atom_site_occupancy
Sm1 Sm 0.2311 0.0000 0.1578 1
W1 W 0.0000 0.2272 0.5000 1
W2 W 0.0000 0.5000 0.0000 1
N1 N 0.1017 0.0000 0.4433 1
N2 N 0.1021 0.5000 0.4072 1
N3 N 0.1056 0.2816 0.8973 1



Entry 10:
# Sm2WN3 (PBE, optimized geometry)
# Volume ... 176 Å³/cell
# Density of states at the Fermi level ... 4.75 states/eV per cell
# Total moment ... 0.00 μB per formula unit
# Energy above the lowest structure with this stoichiometry ... 0.000 eV/atom
data_Sm2WN3
_cell_length_a 3.4669
_cell_length_b 3.9690
_cell_length_c 12.7706
_cell_angle_alpha 90.00
_cell_angle_beta 90.00
_cell_angle_gamma 90.00
_space_group_name_H-M_alt 'I m m m'
_space_group_IT_number 71
_space_group_name_Hall '-I 2 2'
loop_
_atom_site_label
_atom_site_type_symbol
_atom_site_fract_x
_atom_site_fract_y
_atom_site_fract_z
_atom_site_occupancy
Sm1 Sm 0.0000 0.0000 0.1492 1
W1 W 0.0000 0.0000 0.5000 1
N1 N 0.0000 0.0000 0.3401 1
N2 N 0.0000 0.5000 0.5000 1



| no. | final energy (eV for the cell shown) |
| --- | --- |
| 1 | -132.5 |
| 2 | -117.8 |
| 3 | -48.3 |
| 4 | -283.2 |
| 5 | -215.3 |
| 6 | -170.5 |
| 7 | -90.1 |
| 8 | -140.0 |
| 9 | -247.8 |
| 10 | -108.5 |